The following is a DFT calculation (PBE) of an optimized crystal structure of CsZn2C.

Summary:
* VASP energy: -2.64 eV per atom
* energy relative to the elements: 0.51 eV/atom
* SG: No. 141

a = 6.4567 Å, b = 6.4567 Å, c = 6.4661 Å
α = 60.05°, β = 60.05°, γ = 90.00°
Fractional coordinates of all 8 atoms:
Cs 0.0000 0.0000 0.0000
Cs 0.7500 0.2500 0.5000
Zn 0.3750 0.6250 0.7500
Zn 0.3750 0.1250 0.2500
Zn 0.3750 0.6250 0.2500
Zn 0.8750 0.6250 0.7500
C 0.2500 0.7500 0.5000
C 0.5000 0.5000 0.0000

The following is a DFT calculation (PBE) of an optimized crystal structure of CsZrC2.

Summary:
* VASP energy: -4.60 eV per atom
* energy relative to the elements: 2.36 eV/atom
* SG: No. 225

a = 4.5618 Å, b = 4.5618 Å, c = 4.5618 Å
α = 60.00°, β = 60.00°, γ = 60.00°
Fractional coordinates of all 4 atoms:
C 0.7500 0.7500 0.7500
C 0.2500 0.2500 0.2500
Cs 0.5000 0.5000 0.5000
Zr 0.0000 0.0000 0.0000

The following is a DFT calculation (PBE) of an optimized crystal structure of CsZr3C.

Summary:
* VASP energy: -6.44 eV per atom
* energy relative to the elements: 0.71 eV/atom
* SG: No. 221

a = 4.7829 Å, b = 4.7829 Å, c = 4.7829 Å
α = 90.00°, β = 90.00°, γ = 90.00°
Fractional coordinates of all 5 atoms:
Zr 0.5000 0.0000 0.0000
Zr 0.0000 0.0000 0.5000
Zr 0.0000 0.5000 0.0000
C 0.0000 0.0000 0.0000
Cs 0.5000 0.5000 0.5000

The following is a DFT calculation (PBE) of an optimized crystal structure of CsZrC3.

Summary:
* VASP energy: -3.85 eV per atom
* energy relative to the elements: 3.57 eV/atom
* E above lowest polymorph: 8.49 eV/f.u.
* SG: No. 221

a = 4.3477 Å, b = 4.3477 Å, c = 4.3477 Å
α = 90.00°, β = 90.00°, γ = 90.00°
Fractional coordinates of all 5 atoms:
Zr 0.5000 0.5000 0.5000
C 0.0000 0.0000 0.5000
C 0.0000 0.5000 0.0000
C 0.5000 0.0000 0.0000
Cs 0.0000 0.0000 0.0000

The following is a DFT calculation (PBE) of an optimized crystal structure of Cs2Zr2C.

Summary:
* VASP energy: -4.00 eV per atom
* energy relative to the elements: 1.61 eV/atom
* SG: No. 139

a = 3.9768 Å, b = 3.9768 Å, c = 12.1331 Å
α = 80.57°, β = 80.57°, γ = 90.00°
Fractional coordinates of all 5 atoms:
Zr 0.2500 0.7500 0.5000
Zr 0.7500 0.2500 0.5000
C 0.0000 0.0000 0.0000
Cs 0.4192 0.4192 0.1617
Cs 0.5808 0.5808 0.8383

The following is a DFT calculation (PBE) of an optimized crystal structure of CsZrC3.

Summary:
* VASP energy: -5.55 eV per atom
* energy relative to the elements: 1.87 eV/atom
* E above lowest polymorph: 0.00 eV/f.u.
* SG: No. 221

a = 4.5840 Å, b = 4.5840 Å, c = 4.5840 Å
α = 90.00°, β = 90.00°, γ = 90.00°
Fractional coordinates of all 5 atoms:
C 0.0000 0.5000 0.0000
C 0.5000 0.0000 0.0000
C 0.0000 0.0000 0.5000
Zr 0.0000 0.0000 0.0000
Cs 0.5000 0.5000 0.5000

Question: VASP energy of number 3 (CsZr3C)?
Answer: -6.44 eV per atom

Question: Which of these has the highest VASP energy?
Answer: CsZn2C

Question: Look up the VASP energy of the fourth one.
Answer: -3.85 eV per atom

Question: Look up the energy relative to the elements of the sixth one.
Answer: 1.87 eV/atom